No. 1
DFT (PBE) results for crystalline Tb2Pr2Dy at its relaxed geometry.

For the energy above the lowest structure with this stoichiometry, the calculation gives 260 meV per atom. The value obtained for the density of states at the Fermi level is 7.52 states/eV/f.u. The calculation puts the formation energy from the elements at 285 meV/atom. The volume comes out at 35.60 A^3/atom.

The structure belongs to space group Cmcm (No. 63); the cell edges are 6.919, 16.314 and 6.308 Å and the angles 90.00°, 90.00° and 90.00°. The inequivalent atoms are Tb at (0.239, 0.170, 0.250), Pr at (0.000, 0.170, 0.750), Pr at (0.000, 0.401, 0.250) and Dy at (0.000, 0.000, 0.000).

=====

No. 2
DFT (PBE) results for crystalline InCoMo2 at its relaxed geometry.

The value obtained for the density of states at the Fermi level is 3.07 states/eV/f.u. The calculation puts the formation energy from the elements at 361 meV/atom. The volume comes out at 15.80 A^3/atom.

The structure belongs to space group Cm (No. 8); the cell edges are 9.351, 2.779 and 4.971 Å and the angles 90.00°, 101.92° and 90.00°. The inequivalent atoms are In at (0.000, 0.000, 0.000), Co at (0.249, 0.500, 0.207), Mo at (0.229, 0.000, 0.698) and Mo at (0.461, 0.000, 0.479).

=====

No. 3
DFT (PBE) results for crystalline ScSe3 at its relaxed geometry.

The value obtained for the density of states at the Fermi level is 2.18 states/eV/f.u. The calculation puts the uncorrected formation energy at -0.45 eV/atom. The volume comes out at 20.31 A^3/atom.

The structure belongs to space group P4/mmm (No. 123); the cell edges are 4.783, 4.783 and 3.551 Å and the angles 90.00°, 90.00° and 90.00°. The inequivalent atoms are Sc at (0.000, 0.000, 0.000), Se at (0.000, 0.500, 0.500) and Se at (0.500, 0.500, 0.000).

=====

No. 4
DFT (PBE) results for crystalline ZnAgAs2 at its relaxed geometry.

The value obtained for the density of states at the Fermi level is 1.16 states/eV/f.u. The calculation puts the formation energy from the elements at 233 meV/atom. The volume comes out at 18.49 A^3/atom.

The structure belongs to space group Cmmm (No. 65); the cell edges are 3.848, 4.721 and 8.142 Å and the angles 90.00°, 90.00° and 90.00°. The inequivalent atoms are Zn at (0.000, 0.000, 0.000), Ag at (0.000, 0.000, 0.500) and As at (0.000, 0.500, 0.237).

=====

No. 5
DFT (PBE) results for crystalline Na2Cd15Ag2 at its relaxed geometry.

The value obtained for the density of states at the Fermi level is 5.28 states/eV/f.u. The calculation puts the formation energy from the elements at -15 meV/atom. The volume comes out at 23.48 A^3/atom.

The structure belongs to space group R-3m (No. 166, hexagonal axes); the cell edges are 10.0912, 10.0912 and 15.1755 Å and the angles 90.00°, 90.00° and 120.00°. The inequivalent atoms are Na at (0.0000, 0.0000, 0.1704), Cd at (0.0000, 0.2940, 0.5000), Cd at (0.0000, 0.5000, 0.0000), Cd at (0.0074, 0.5037, 0.6442) and Ag at (0.0000, 0.0000, 0.4003).

=====

No. 6
DFT (PBE) results for crystalline PrNd2DyTm4 at its relaxed geometry.

The value obtained for the density of states at the Fermi level is 19.69 states/eV/f.u. The calculation puts the formation energy from the elements at 416 meV/atom. The volume comes out at 33.20 A^3/atom.

The structure belongs to space group Imma (No. 74); the cell edges are 6.780, 11.837 and 13.238 Å and the angles 90.00°, 90.00° and 90.00°. The inequivalent atoms are Pr at (0.000, 0.000, 0.000), Nd at (0.000, 0.000, 0.500), Nd at (0.250, 0.250, 0.250), Dy at (0.250, 0.250, 0.750), Tm at (0.000, 0.004, 0.750) and Tm at (0.250, 0.250, 0.504).

=====

No. 7
DFT (PBE) results for crystalline Ta3H at its relaxed geometry.

For the energy above the lowest structure with this stoichiometry, the calculation gives 0 meV per atom. The value obtained for the density of states at the Fermi level is 2.34 states/eV/f.u. The volume comes out at 14.58 A^3/atom.

The structure belongs to space group Imm2 (No. 44); the cell edges are 2.761, 8.472 and 4.988 Å and the angles 90.00°, 90.00° and 90.00°. The inequivalent atoms are Ta at (0.000, 0.000, 0.000), Ta at (0.000, 0.177, 0.495) and H at (0.000, 0.500, 0.159).

=====

No. 8
DFT (PBE) results for crystalline Sr2YCdRh at its relaxed geometry.

The value obtained for the density of states at the Fermi level is 2.90 states/eV/f.u. The calculation puts the formation energy from the elements at -193 meV/atom. The volume comes out at 36.30 A^3/atom.

The structure belongs to space group P4/mmm (No. 123); the cell edges are 5.859, 5.859 and 5.287 Å and the angles 90.00°, 90.00° and 90.00°. The inequivalent atoms are Sr at (0.000, 0.500, 0.000), Y at (0.000, 0.000, 0.500), Cd at (0.500, 0.500, 0.500) and Rh at (0.000, 0.000, 0.000).

=====

No. 9
DFT (PBE) results for crystalline BaCr2As at its relaxed geometry.

The value obtained for the density of states at the Fermi level is 3.22 states/eV/f.u. The calculation puts the formation energy from the elements at 118 meV/atom. The volume comes out at 23.16 A^3/atom.

The structure belongs to space group C2/m (No. 12); the cell edges are 7.376, 4.201 and 6.224 Å and the angles 90.00°, 106.12° and 90.00°. The inequivalent atoms are Ba at (0.000, 0.000, 0.000), Cr at (0.175, 0.000, 0.528) and As at (0.000, 0.500, 0.500).

=====

No. 10
DFT (PBE) results for crystalline TmPuSc2 at its relaxed geometry.

For the energy above the lowest structure with this stoichiometry, the calculation gives 9 meV per atom. The value obtained for the density of states at the Fermi level is 10.65 states/eV/f.u. The calculation puts the formation energy from the elements at 88 meV/atom. The volume comes out at 26.11 A^3/atom.

The structure belongs to space group R3m (No. 160, hexagonal axes); the cell edges are 3.3536, 3.3536 and 32.1657 Å and the angles 90.00°, 90.00° and 120.00°. The inequivalent atoms are Tm at (0.0000, 0.0000, 0.0000), Pu at (0.0000, 0.0000, 0.1658), Sc at (0.0000, 0.0000, 0.5815) and Sc at (0.0000, 0.0000, 0.7511).

=====

No. 11
DFT (PBE) results for crystalline Sr2TaTl at its relaxed geometry.

For the energy above the lowest structure with this stoichiometry, the calculation gives 161 meV per atom. The value obtained for the density of states at the Fermi level is 3.13 states/eV/f.u. The calculation puts the formation energy from the elements at 689 meV/atom. The volume comes out at 30.08 A^3/atom.

The structure belongs to space group Fmmm (No. 69); the cell edges are 6.938, 6.945 and 9.988 Å and the angles 90.00°, 90.00° and 90.00°. The inequivalent atoms are Sr at (0.250, 0.250, 0.250), Ta at (0.000, 0.000, 0.000) and Tl at (0.000, 0.000, 0.500).

=====

No. 12
DFT (PBE) results for crystalline Pm5Cd2Pb5 at its relaxed geometry.

For the energy above the lowest structure with this stoichiometry, the calculation gives 91 meV per atom. The value obtained for the density of states at the Fermi level is 8.18 states/eV/f.u. The calculation puts the formation energy from the elements at -354 meV/atom. The volume comes out at 30.43 A^3/atom.

The structure belongs to space group C2/m (No. 12); the cell edges are 14.398, 4.656 and 12.883 Å and the angles 90.00°, 122.26° and 90.00°. The inequivalent atoms are Pm at (0.000, 0.000, 0.000), Pm at (0.148, 0.000, 0.788), Pm at (0.153, 0.000, 0.494), Cd at (0.081, 0.500, 0.282), Pb at (0.000, 0.500, 0.500), Pb at (0.130, 0.500, 0.953) and Pb at (0.224, 0.000, 0.283).

=====

No. 13
DFT (PBE) results for crystalline KTlAu2I at its relaxed geometry.

The value obtained for the density of states at the Fermi level is 7.06 states/eV/f.u. The calculation puts the uncorrected formation energy at 0.51 eV/atom. The volume comes out at 50.21 A^3/atom.

The structure belongs to space group P4/mmm (No. 123); the cell edges are 5.676, 5.676 and 7.792 Å and the angles 90.00°, 90.00° and 90.00°. The inequivalent atoms are K at (0.000, 0.000, 0.000), Tl at (0.000, 0.000, 0.500), Au at (0.000, 0.500, 0.000) and I at (0.500, 0.500, 0.500).

=====

No. 14
DFT (PBE) results for crystalline NdGaCuAu at its relaxed geometry.

The value obtained for the density of states at the Fermi level is 2.70 states/eV/f.u. The calculation puts the formation energy from the elements at -418 meV/atom. The volume comes out at 19.97 A^3/atom.

The structure belongs to space group F-43m (No. 216); the cell edges are 6.836, 6.836 and 6.836 Å and the angles 90.00°, 90.00° and 90.00°. The inequivalent atoms are Nd at (0.000, 0.000, 0.000), Ga at (0.000, 0.000, 0.500), Cu at (0.250, 0.250, 0.750) and Au at (0.250, 0.250, 0.250).

=====

No. 15
DFT (PBE) results for crystalline PrAsRh2 at its relaxed geometry.

The value obtained for the density of states at the Fermi level is 1.70 states/eV/f.u. The calculation puts the formation energy from the elements at -758 meV/atom. The volume comes out at 19.56 A^3/atom.

The structure belongs to space group P4/nmm (No. 129, origin choice 2); the cell edges are 4.013, 4.013 and 9.717 Å and the angles 90.00°, 90.00° and 90.00°. The inequivalent atoms are Pr at (0.250, 0.250, 0.209), As at (0.250, 0.250, 0.652), Rh at (0.250, 0.250, 0.903) and Rh at (0.250, 0.750, 0.500).

=====

No. 16
DFT (PBE) results for crystalline CsNpMn2Cl8 at its relaxed geometry.

The value obtained for the density of states at the Fermi level is 4.92 states/eV/f.u. The calculation puts the uncorrected formation energy at -1.44 eV/atom. The volume comes out at 32.79 A^3/atom.

The structure belongs to space group R-3 (No. 148, hexagonal axes); the cell edges are 6.6374, 6.6374 and 30.9394 Å and the angles 90.00°, 90.00° and 120.00°. The inequivalent atoms are Cs at (0.0000, 0.0000, 0.0000), Np at (0.0000, 0.0000, 0.5000), Mn at (0.0000, 0.0000, 0.2470), Cl at (0.0000, 0.0000, 0.3203) and Cl at (0.0020, 0.3392, 0.2203).

=====

No. 17
DFT (PBE) results for crystalline BaIn2Cl at its relaxed geometry.

For the energy above the lowest structure with this stoichiometry, the calculation gives 271 meV per atom. The value obtained for the density of states at the Fermi level is 4.18 states/eV/f.u. The calculation puts the uncorrected formation energy at -0.58 eV/atom. The volume comes out at 40.85 A^3/atom.

The structure belongs to space group P4/mmm (No. 123); the cell edges are 5.287, 5.287 and 5.847 Å and the angles 90.00°, 90.00° and 90.00°. The inequivalent atoms are Ba at (0.000, 0.000, 0.000), In at (0.500, 0.500, 0.243) and Cl at (0.000, 0.000, 0.500).

=====

No. 18
DFT (PBE) results for crystalline TiSiPb at its relaxed geometry.

For the energy above the lowest structure with this stoichiometry, the calculation gives 51 meV per atom. The value obtained for the density of states at the Fermi level is 2.07 states/eV/f.u. The calculation puts the uncorrected formation energy at -0.23 eV/atom. The volume comes out at 21.38 A^3/atom.

The structure belongs to space group P2_1 (No. 4); the cell edges are 3.536, 3.643 and 9.962 Å and the angles 90.00°, 91.21° and 90.00°. The inequivalent atoms are Ti at (0.008, 0.000, 0.121), Si at (0.494, 0.000, 0.912) and Pb at (0.358, 0.477, 0.621).

=====

No. 19
DFT (PBE) results for crystalline LiMoOs2 at its relaxed geometry.

For the energy above the lowest structure with this stoichiometry, the calculation gives 120 meV per atom. The value obtained for the density of states at the Fermi level is 2.98 states/eV/f.u. The calculation puts the formation energy from the elements at 247 meV/atom. The volume comes out at 14.08 A^3/atom.

The structure belongs to space group Pmmm (No. 47); the cell edges are 2.766, 3.799 and 5.361 Å and the angles 90.00°, 90.00° and 90.00°. The inequivalent atoms are Li at (0.000, 0.000, 0.000), Mo at (0.000, 0.000, 0.500) and Os at (0.500, 0.500, 0.233).

=====

No. 20
DFT (PBE) results for crystalline LuMgGaSn at its relaxed geometry.

The value obtained for the density of states at the Fermi level is 3.85 states/eV/f.u. The calculation puts the formation energy from the elements at -272 meV/atom. The volume comes out at 22.97 A^3/atom.

The structure belongs to space group F-43m (No. 216); the cell edges are 7.163, 7.163 and 7.163 Å and the angles 90.00°, 90.00° and 90.00°. The inequivalent atoms are Lu at (0.000, 0.000, 0.000), Mg at (0.000, 0.000, 0.500), Ga at (0.250, 0.250, 0.750) and Sn at (0.250, 0.250, 0.250).